# Ho2InAu2 (SCAN, single point on PBEsol structure)
data_Ho2InAu2
_chemical_formula_sum 'Ho4 In2 Au4'
_cell_length_a 7.7928
_cell_length_b 7.7928
_cell_length_c 3.6573
_cell_angle_alpha 90.00
_cell_angle_beta 90.00
_cell_angle_gamma 90.00
_space_group_name_H-M_alt 'P 4/m b m'
_space_group_IT_number 127
_space_group_name_Hall '-P 4 2ab'
loop_
_atom_site_label
_atom_site_type_symbol
_atom_site_fract_x
_atom_site_fract_y
_atom_site_fract_z
_atom_site_occupancy
Ho1 Ho 0.1687 0.3313 0.0000 1
In1 In 0.0000 0.0000 0.5000 1
Au1 Au 0.1289 0.6289 0.5000 1
# Crystal system: tetragonal
# Total magnetization in μB per formula unit: 0.000
# E in eV per atom: -54.984